Entry 1:
A relaxed structure of RbMgNb2. Source: Alexandria, functional PBE-GGA.

Properties
Total DFT energy (no corrections) ... -17.131 eV/f.u.
Total magnetization ... 0.0000 μB per atom
V ... 468 Å³/cell
Energy relative to the elements ... 1.393 eV per atom
D(E_F) ... 4.2 states/eV/f.u.

a b c (Å): 4.5294 4.5294 22.8092
angles (deg): 90.00 90.00 90.00
With the nearest neighbours (Å) after each atom.
Fractional positions:
Rb  0.0000  0.0000  0.0000  4 Mg 3.20, 4 Nb 3.54
Rb  0.0000  0.5000  0.2500  4 Mg 3.20, 4 Nb 3.54
Rb  0.5000  0.0000  0.7500  4 Mg 3.20, 4 Nb 3.54
Rb  0.5000  0.5000  0.5000  4 Mg 3.20, 4 Nb 3.54
Mg  0.0000  0.0000  0.5000  4 Nb 3.11, 4 Rb 3.20
Mg  0.0000  0.5000  0.7500  4 Nb 3.11, 4 Rb 3.20
Mg  0.5000  0.0000  0.2500  4 Nb 3.11, 4 Rb 3.20
Mg  0.5000  0.5000  0.0000  4 Nb 3.11, 4 Rb 3.20
Nb  0.1099  0.7500  0.6250  2 Nb 2.47
Nb  0.2500  0.1099  0.3750  2 Nb 2.47
Nb  0.2500  0.3901  0.8750  2 Nb 2.47
Nb  0.3901  0.7500  0.1250  2 Nb 2.47
Nb  0.6099  0.2500  0.1250  2 Nb 2.47
Nb  0.7500  0.6099  0.8750  2 Nb 2.47
Nb  0.7500  0.8901  0.3750  2 Nb 2.47
Nb  0.8901  0.2500  0.6250  2 Nb 2.47



Entry 2:
A relaxed structure of HfTlCo3. Source: Alexandria, functional PBE-GGA.

Properties
Total DFT energy (no corrections) ... -27.467 eV/f.u.
Total magnetization ... 0.3798 μB per atom
Polymorph energy (0 for the lowest one) ... 0.0 meV/atom
V ... 97 Å³/cell
Energy relative to the elements ... 1.234 eV per atom
D(E_F) ... 3.4 states/eV/f.u.

a b c (Å): 4.5904 4.5904 4.5904
angles (deg): 90.00 90.00 90.00
With the nearest neighbours (Å) after each atom.
Fractional positions:
Hf  0.0000  0.0000  0.0000  6 Co 2.30
Tl  0.5000  0.5000  0.5000  12 Co 3.25
Co  0.0000  0.0000  0.5000  2 Hf 2.30
Co  0.0000  0.5000  0.0000  2 Hf 2.30
Co  0.5000  0.0000  0.0000  2 Hf 2.30



- The lowest D(E_F) belongs to which entry?
  HfTlCo3



- Which of these has the highest total DFT energy (no corrections)?
  RbMgNb2



- Which value of D(E_F) does entry 1 give?
  4.2 states/eV/f.u.



- Which formula does entry 2 have?
  HfTlCo3